Computed, not measured: an optimized crystal structure of La11Sm9Ho4 at the PBE level of DFT.

Cell: 15.7576 15.7576 3.7147 Å, 90.00 90.00 113.17°
Fractional positions:
La 0.0000 0.0000 0.0000
La 0.0421 0.4034 0.0000
La 0.1610 0.8390 0.0000
La 0.2924 0.2924 0.0000
La 0.3693 0.6307 0.0000
La 0.4034 0.0421 0.0000
La 0.5966 0.9579 0.0000
La 0.6307 0.3693 0.0000
La 0.7076 0.7076 0.0000
La 0.8390 0.1610 0.0000
La 0.9579 0.5966 0.0000
Sm 0.0675 0.2139 0.5000
Sm 0.1661 0.6298 0.5000
Sm 0.2139 0.0675 0.5000
Sm 0.3702 0.8339 0.5000
Sm 0.5000 0.5000 0.5000
Sm 0.6298 0.1661 0.5000
Sm 0.7861 0.9325 0.5000
Sm 0.8339 0.3702 0.5000
Sm 0.9325 0.7861 0.5000
Ho 0.2399 0.4439 0.5000
Ho 0.4439 0.2399 0.5000
Ho 0.5561 0.7601 0.5000
Ho 0.7601 0.5561 0.5000

## Properties
The calculation puts the formation energy at 0.064 eV/atom. The calculation puts the density of states at the Fermi level at 37.0 states/eV per cell. The value obtained for the total magnetization is 0.002 μB/cell. Its volume is 35.3 Å³/atom. As for the space group: Cmmm (65).